Density functional theory data (GGA-PBE) for a relaxed structure of NaPm3Nd2S6.

* magnetization: 0.000 μB per atom
* E_tot: -146.9 eV per cell
* formation energy from raw total energies: -1.96 eV/atom

Structure (CIF):
```
data_NaPm3Nd2S6
_cell_length_a 17.674
_cell_length_b 4.042
_cell_length_c 8.118
_cell_angle_alpha 90.00
_cell_angle_beta 103.22
_cell_angle_gamma 90.00
_symmetry_space_group_name_H-M 'C 1 2/m 1'
_symmetry_Int_Tables_number 12
loop_
_symmetry_equiv_pos_as_xyz
'x,y,z'
'-x,-y,-z'
'-x,y,-z'
'x,-y,z'
'x+1/2,y+1/2,z'
'-x+1/2,-y+1/2,-z'
'-x+1/2,y+1/2,-z'
'x+1/2,-y+1/2,z'
loop_
_atom_site_label
_atom_site_type_symbol
_atom_site_fract_x
_atom_site_fract_y
_atom_site_fract_z
_atom_site_occupancy
Na1 Na 0.000 0.000 0.000 1
Pm1 Pm 0.000 0.000 0.500 1
Pm2 Pm 0.164 0.500 0.828 1
Nd1 Nd 0.168 0.500 0.339 1
S1 S 0.000 0.500 0.252 1
S2 S 0.164 0.000 0.586 1
S3 S 0.167 0.000 0.081 1
```